(1)
Computed, not measured: LaGdBe2Si2 after structural relaxation at the GGA-PBE level of DFT.

The structure in POSCAR format:
```
LaGdBe2Si2
1.0
3.943 0.000 0.000
-1.972 3.415 0.000
0.000 0.000 8.482
La Gd Be Si
1 1 2 2
Cartesian
0.000 0.000 0.000
0.000 0.000 4.241
0.000 2.277 2.223
1.972 1.138 6.259
0.000 2.277 6.257
1.972 1.138 2.225
```

energy = -5.26 eV per atom

=====

(2)
Computed, not measured: LiGdBe after structural relaxation at the GGA-PBE level of DFT.

The structure in POSCAR format:
```
LiGdBe
1.0
6.286 0.000 0.000
0.000 6.286 0.000
0.000 0.000 6.286
Li Gd Be
4 4 4
Cartesian
0.000 0.000 0.000
0.000 3.143 3.143
3.143 0.000 3.143
3.143 3.143 0.000
1.571 1.571 1.571
1.571 4.714 4.714
4.714 1.571 4.714
4.714 4.714 1.571
1.571 1.571 4.714
1.571 4.714 1.571
4.714 1.571 1.571
4.714 4.714 4.714
```

energy = -2.82 eV per atom

=====

(3)
Computed, not measured: GdBeMo after structural relaxation at the GGA-PBE level of DFT.

The structure in POSCAR format:
```
GdBeMo
1.0
6.112 0.000 0.000
0.000 6.112 0.000
0.000 0.000 6.112
Gd Be Mo
4 4 4
Cartesian
0.000 0.000 0.000
0.000 3.056 3.056
3.056 0.000 3.056
3.056 3.056 0.000
1.528 1.528 1.528
1.528 4.584 4.584
4.584 1.528 4.584
4.584 4.584 1.528
0.000 0.000 3.056
0.000 3.056 0.000
3.056 0.000 0.000
3.056 3.056 3.056
```

energy above the lowest structure with this stoichiometry = 0 meV/atom

=====

(4)
Computed, not measured: GdBeNO after structural relaxation at the GGA-PBE level of DFT.

The structure in POSCAR format:
```
GdBeNO
1.0
4.581 0.000 0.000
0.000 4.581 0.000
0.000 0.000 4.690
Gd Be N O
2 2 2 2
Cartesian
1.145 3.436 0.000
3.436 1.145 0.000
1.145 1.145 1.970
3.436 3.436 2.720
1.145 1.145 0.404
3.436 3.436 4.286
1.145 3.436 2.345
3.436 1.145 2.345
```

energy above the lowest structure with this stoichiometry = 629 meV/atom

=====

(5)
Computed, not measured: GdBeNO after structural relaxation at the GGA-PBE level of DFT.

The structure in POSCAR format:
```
GdBeNO
1.0
3.342 0.000 0.000
0.000 5.190 0.000
0.000 0.000 5.036
Gd Be N O
2 2 2 2
Cartesian
0.000 1.222 0.000
0.000 3.967 2.518
1.671 1.100 2.512
1.671 4.090 5.030
0.000 1.713 2.492
0.000 3.477 5.010
1.671 0.022 3.785
1.671 5.168 1.267
```

energy above the lowest structure with this stoichiometry = 176 meV/atom

=====

(6)
Computed, not measured: GdBeNO after structural relaxation at the GGA-PBE level of DFT.

The structure in POSCAR format:
```
GdBeNO
1.0
5.086 0.000 0.000
0.000 6.944 0.000
0.000 0.000 4.847
Gd Be N O
4 4 4 4
Cartesian
0.087 1.210 0.000
2.456 1.210 2.423
2.630 5.734 0.000
4.999 5.734 2.423
0.373 4.122 4.843
2.169 4.122 2.420
2.916 2.822 4.843
4.712 2.822 2.420
0.041 5.830 0.019
2.502 5.830 2.442
2.584 1.113 0.019
5.045 1.113 2.442
0.735 3.688 3.247
1.808 3.688 0.824
3.278 3.256 3.247
4.351 3.256 0.824
```

energy above the lowest structure with this stoichiometry = 0 meV/atom

=====

(7)
Computed, not measured: GdBeNO after structural relaxation at the GGA-PBE level of DFT.

The structure in POSCAR format:
```
GdBeNO
1.0
3.234 0.000 0.000
0.000 5.252 0.000
0.000 0.000 5.317
Gd Be N O
2 2 2 2
Cartesian
0.000 1.154 0.000
0.000 4.098 2.659
1.617 1.027 2.779
1.617 4.225 0.120
1.617 0.139 1.366
1.617 5.113 4.024
0.000 1.853 2.952
0.000 3.399 0.294
```

energy above the lowest structure with this stoichiometry = 99 meV/atom

=====

(8)
Computed, not measured: GdBeNO after structural relaxation at the GGA-PBE level of DFT.

The structure in POSCAR format:
```
GdBeNO
1.0
3.503 0.000 0.000
0.000 3.503 0.000
0.000 0.000 7.328
Gd Be N O
2 2 2 2
Cartesian
0.876 0.876 1.289
2.627 2.627 6.039
0.876 2.627 3.664
2.627 0.876 3.664
0.876 0.876 4.339
2.627 2.627 2.989
0.876 2.627 0.000
2.627 0.876 0.000
```

energy above the lowest structure with this stoichiometry = 309 meV/atom

=====

(9)
Computed, not measured: GdBeNO after structural relaxation at the GGA-PBE level of DFT.

The structure in POSCAR format:
```
GdBeNO
1.0
5.388 0.000 0.000
0.000 6.448 0.000
0.000 0.000 4.924
Gd Be N O
4 4 4 4
Cartesian
0.257 1.397 0.000
2.437 1.397 2.462
2.951 5.051 0.000
5.130 5.051 2.462
0.441 3.863 0.085
2.253 3.863 2.547
3.135 2.585 0.085
4.947 2.585 2.547
0.843 3.338 3.440
1.851 3.338 0.978
3.536 3.110 3.440
4.545 3.110 0.978
0.062 0.939 2.508
2.632 0.939 0.046
2.756 5.509 2.508
5.326 5.509 0.046
```

energy above the lowest structure with this stoichiometry = 153 meV/atom

=====

(10)
Computed, not measured: Nd2GdBe2 after structural relaxation at the GGA-PBE level of DFT.

The structure in POSCAR format:
```
Nd2GdBe2
1.0
-2.485 2.485 10.398
2.485 -2.485 10.398
2.485 2.485 -10.398
Nd Gd Be
4 2 4
Cartesian
2.485 0.000 0.000
0.000 0.000 3.924
0.000 2.485 0.000
0.000 0.000 16.873
0.000 0.000 7.505
0.000 0.000 13.291
0.000 0.000 1.235
2.485 0.000 5.199
0.000 2.485 5.199
0.000 0.000 19.562
```

energy = -4.03 eV per atom

=====

(11)
Computed, not measured: NdGdBe2Si2 after structural relaxation at the GGA-PBE level of DFT.

The structure in POSCAR format:
```
NdGdBe2Si2
1.0
3.922 0.000 0.000
-1.961 3.396 0.000
0.000 0.000 8.329
Nd Gd Be Si
1 1 2 2
Cartesian
0.000 0.000 0.000
0.000 0.000 4.165
0.000 2.264 6.200
1.961 1.132 2.129
0.000 2.264 2.142
1.961 1.132 6.188
```

energy = -5.25 eV per atom

=====

(12)
Computed, not measured: Gd2Be2O5 after structural relaxation at the GGA-PBE level of DFT.

The structure in POSCAR format:
```
Gd2Be2O5
1.0
3.799 0.000 0.000
0.000 3.799 0.000
0.000 0.000 8.763
Gd Be O
2 2 5
Cartesian
0.000 0.000 2.107
0.000 0.000 6.656
1.900 1.900 0.000
1.900 1.900 4.381
0.000 0.000 4.381
0.000 1.900 1.105
0.000 1.900 7.658
1.900 0.000 1.105
1.900 0.000 7.658
```

energy above the lowest structure with this stoichiometry = 1388 meV/atom